This record from the Alexandria database describes a geometry-optimized VO2F2 structure. The functional is PBE with a Hubbard U.

abc: 3.7824 3.7824 3.6777
angles: 90.00 90.00 90.00
Each line ends with the local moment (μB).
Sites, in units of the cell vectors:
F: 0.0000 0.5000 0.0000  0.00
F: 0.5000 0.0000 0.0000  0.00
O: 0.0000 0.0000 0.5000  0.04
O: 0.0000 0.0000 0.0000  -0.10
V: 0.5000 0.5000 0.5000  -2.64

Values from the calculation:
Calculated volume, Å³ per cell: 52.62
Raw total energy, eV per cell: -21.038

This record from the Alexandria database describes a geometry-optimized V3O4F2 structure. The functional is PBE with a Hubbard U.

abc: 5.5827 5.5856 7.2994
angles: 73.08 72.01 72.34
Each line ends with the local moment (μB).
Sites, in units of the cell vectors:
F: 0.7326 0.7484 0.9582  0.00
F: 0.1230 0.5423 0.6750  0.00
F: 0.2674 0.2516 0.0418  0.00
F: 0.8770 0.4577 0.3250  0.00
O: 0.0644 0.0607 0.6242  -0.07
O: 0.3894 0.3894 0.3058  -0.08
O: 0.1941 0.7918 0.9995  -0.07
O: 0.8059 0.2082 0.0005  -0.07
O: 0.9356 0.9393 0.3758  -0.07
O: 0.6106 0.6106 0.6942  -0.08
O: 0.5248 0.1421 0.6731  -0.09
O: 0.4752 0.8579 0.3269  -0.09
V: 0.5000 0.5000 0.0000  1.95
V: 0.1497 0.1476 0.8328  1.90
V: 0.8503 0.8524 0.1672  1.90
V: 0.7968 0.8688 0.6505  1.24
V: 0.2032 0.1312 0.3495  1.24
V: 0.5000 0.5000 0.5000  1.93

Values from the calculation:
Calculated volume, Å³ per cell: 201.34
Relative energy among the computed polymorphs, meV per atom: 8
Raw total energy, eV per cell: -132.857

This record from the Alexandria database describes a geometry-optimized V3O5F structure. The functional is PBE with a Hubbard U.

abc: 5.5222 5.5197 7.2695
angles: 70.86 71.05 73.79
Each line ends with the local moment (μB).
Sites, in units of the cell vectors:
F: 0.7011 0.3015 0.0027  0.00
F: 0.1038 0.0956 0.6991  0.00
V: 0.3105 0.3239 0.1841  1.23
V: 0.9911 0.9970 0.4892  1.79
V: 0.3450 0.3553 0.6634  1.20
V: 0.0233 0.9666 0.0157  1.17
V: 0.6626 0.6648 0.3303  1.80
V: 0.6745 0.6930 0.8188  1.23
O: 0.4122 0.4258 0.3808  -0.08
O: 0.3728 0.9768 0.3208  -0.10
O: 0.9081 0.8964 0.2961  -0.07
O: 0.2208 0.2243 0.9622  -0.07
O: 0.3185 0.6809 0.0054  -0.06
O: 0.0267 0.6301 0.6733  -0.08
O: 0.7852 0.7838 0.0182  -0.08
O: 0.6231 0.0407 0.6693  -0.08
O: 0.5614 0.5723 0.6401  -0.08
O: 0.9592 0.3711 0.3305  -0.07

Values from the calculation:
Calculated volume, Å³ per cell: 194.25
Relative energy among the computed polymorphs, meV per atom: 33
Raw total energy, eV per cell: -136.111

This record from the Alexandria database describes a geometry-optimized VOF3 structure. The functional is PBE with a Hubbard U.

abc: 5.3221 5.5863 9.8333
angles: 90.00 90.00 90.00
Sites, in units of the cell vectors:
V: 0.4594 0.4464 0.2410
V: 0.9594 0.9464 0.2590
V: 0.9594 0.5536 0.7590
V: 0.4594 0.0536 0.7410
O: 0.7589 0.7570 0.8010
O: 0.2589 0.2430 0.1990
O: 0.2589 0.2570 0.6990
O: 0.7589 0.7430 0.3010
F: 0.4212 0.4727 0.4191
F: 0.2452 0.7264 0.2177
F: 0.6123 0.9881 0.5849
F: 0.1123 0.4881 0.9151
F: 0.1123 0.0119 0.4151
F: 0.7452 0.2264 0.2823
F: 0.4212 0.0273 0.9191
F: 0.7452 0.2736 0.7823
F: 0.9212 0.9727 0.0809
F: 0.6123 0.5119 0.0849
F: 0.9212 0.5273 0.5809
F: 0.2452 0.7736 0.7177

Values from the calculation:
Calculated volume, Å³ per cell: 292.36
Raw total energy, eV per cell: -117.743

This record from the Alexandria database describes a geometry-optimized V4O5F7 structure. The functional is PBE with a Hubbard U.

abc: 5.3920 5.3148 9.0665
angles: 74.28 106.32 120.23
Each line ends with the local moment (μB).
Sites, in units of the cell vectors:
F: 0.4425 0.6966 0.6198  0.00
F: 0.9076 0.6610 0.1720  0.01
F: 0.0799 0.3319 0.8360  0.02
F: 0.5791 0.8198 0.9073  0.00
F: 0.0885 0.3410 0.4077  0.00
F: 0.4240 0.1734 0.6688  0.01
F: 0.4073 0.1866 0.0989  0.00
V: 0.9923 0.9729 0.9933  1.15
V: 0.7516 0.2096 0.2456  0.14
V: 0.2202 0.7458 0.7369  1.12
V: 0.5209 0.4959 0.4876  1.01
O: 0.6011 0.8592 0.3374  -0.06
O: 0.5749 0.3231 0.3809  -0.12
O: 0.0751 0.8129 0.8901  -0.14
O: 0.9163 0.1924 0.1188  -0.03
O: 0.9185 0.6779 0.5989  -0.14

Values from the calculation:
Calculated volume, Å³ per cell: 212.79
Relative energy among the computed polymorphs, meV per atom: 7
Raw total energy, eV per cell: -105.237

This record from the Alexandria database describes a geometry-optimized V4O3F9 structure. The functional is PBE with a Hubbard U.

abc: 5.1892 5.1790 18.3278
angles: 134.62 121.91 81.90
Each line ends with the local moment (μB).
Sites, in units of the cell vectors:
O: 0.2557 0.4707 0.7781  0.01
O: 0.3484 0.0808 0.1048  -0.11
O: 0.9781 0.7132 0.6313  0.06
V: 0.1318 0.3449 0.5347  -1.91
V: 0.3106 0.1563 0.7774  -0.08
V: 0.2445 0.6497 0.0439  1.09
V: 0.6934 0.6175 0.2381  0.01
F: 0.1902 0.2965 0.8812  0.00
F: 0.7695 0.4149 0.9383  0.01
F: 0.2996 0.7619 0.1772  0.01
F: 0.3849 0.1516 0.5866  0.01
F: 0.5246 0.8980 0.7001  0.00
F: 0.6058 0.5047 0.0926  0.00
F: 0.7206 0.8400 0.3824  -0.01
F: 0.0338 0.1819 0.3872  0.01
F: 0.0087 0.4173 0.2460  -0.01

Values from the calculation:
Calculated volume, Å³ per cell: 275.11
Relative energy among the computed polymorphs, meV per atom: 192
Raw total energy, eV per cell: -99.620

This record from the Alexandria database describes a geometry-optimized V3O4F2 structure. The functional is PBE with a Hubbard U.

abc: 5.0947 5.1154 5.5666
angles: 91.95 116.44 118.42
Each line ends with the local moment (μB).
Sites, in units of the cell vectors:
V: 0.7017 0.8333 0.5649  1.96
V: 0.6547 0.3278 0.0102  1.88
V: 0.2846 0.6236 0.9376  1.20
O: 0.5079 0.5751 0.7564  -0.05
O: 0.1996 0.9191 0.8001  -0.08
O: 0.8537 0.2500 0.7859  -0.07
O: 0.5455 0.5130 0.2337  -0.09
F: 0.1750 0.7114 0.2457  0.00
F: 0.7800 0.0743 0.2612  0.01

Values from the calculation:
Calculated volume, Å³ per cell: 108.53
Relative energy among the computed polymorphs, meV per atom: 58
Raw total energy, eV per cell: -65.982

This record from the Alexandria database describes a geometry-optimized V3OF5 structure. The functional is PBE with a Hubbard U.

abc: 5.8565 5.8565 7.3799
angles: 73.75 73.75 72.42
Each line ends with the local moment (μB).
Sites, in units of the cell vectors:
F: 0.7013 0.2987 0.0000  0.00
F: 0.4474 0.4474 0.3630  0.01
F: 0.3606 0.9762 0.3438  0.00
F: 0.5526 0.5526 0.6370  0.01
F: 0.2987 0.7013 0.0000  0.00
F: 0.9762 0.3606 0.3438  0.00
F: 0.6394 0.0238 0.6562  0.00
F: 0.0238 0.6394 0.6562  0.00
F: 0.2261 0.2261 0.9668  0.01
F: 0.7739 0.7739 0.0332  0.01
V: 0.6823 0.6823 0.3402  2.71
V: 0.3177 0.3177 0.6598  2.71
V: 0.6651 0.6651 0.8309  2.77
V: 0.0000 0.0000 0.0000  2.04
V: 0.3349 0.3349 0.1691  2.77
V: 0.0000 0.0000 0.5000  2.08
O: 0.0852 0.0852 0.7121  -0.10
O: 0.9148 0.9148 0.2879  -0.10

Values from the calculation:
Calculated volume, Å³ per cell: 226.33
Raw total energy, eV per cell: -119.332

This record from the Alexandria database describes a geometry-optimized V2O3F structure. The functional is PBE with a Hubbard U.

abc: 4.6979 4.6979 12.1037
angles: 90.00 90.00 93.85
Each line ends with the local moment (μB).
Sites, in units of the cell vectors:
O: 0.6923 0.6923 0.5000  -0.06
O: 0.1955 0.8045 0.8749  -0.09
O: 0.6874 0.6984 0.7500  -0.06
O: 0.8045 0.1955 0.3750  -0.09
O: 0.1955 0.8045 0.6251  -0.09
O: 0.6923 0.6923 0.0000  -0.06
O: 0.3077 0.3077 0.5000  -0.06
O: 0.3016 0.3126 0.7500  -0.06
O: 0.8045 0.1955 0.1250  -0.09
O: 0.3126 0.3016 0.2500  -0.06
O: 0.6984 0.6874 0.2500  -0.06
O: 0.3077 0.3077 0.0000  -0.06
V: 0.4560 0.5440 0.8753  1.20
V: 0.0000 0.0000 0.5000  1.90
V: 0.0000 0.0000 0.0000  1.90
V: 0.5440 0.4560 0.1247  1.20
V: 0.4560 0.5440 0.6247  1.20
V: 0.0028 0.9972 0.7500  1.89
V: 0.5440 0.4560 0.3753  1.20
V: 0.9972 0.0028 0.2500  1.89
F: 0.2024 0.7976 0.1250  0.00
F: 0.2024 0.7976 0.3750  0.00
F: 0.7976 0.2024 0.8750  0.00
F: 0.7976 0.2024 0.6250  0.00

Values from the calculation:
Calculated volume, Å³ per cell: 266.53
Relative energy among the computed polymorphs, meV per atom: 4
Raw total energy, eV per cell: -179.889

This record from the Alexandria database describes a geometry-optimized V3O4F2 structure. The functional is PBE with a Hubbard U.

abc: 4.7145 4.7145 9.0187
angles: 89.22 89.22 90.14
Each line ends with the local moment (μB).
Sites, in units of the cell vectors:
O: 0.6952 0.7122 0.5027  -0.10
O: 0.3209 0.3055 0.8292  -0.08
O: 0.1886 0.8069 0.3284  -0.08
O: 0.2162 0.7838 0.0000  -0.08
O: 0.6945 0.6791 0.1708  -0.08
O: 0.8112 0.1888 0.0000  -0.10
O: 0.1931 0.8114 0.6716  -0.08
O: 0.2878 0.3048 0.4973  -0.10
F: 0.2948 0.2903 0.1712  0.00
F: 0.7892 0.1959 0.3295  0.00
F: 0.8041 0.2108 0.6705  0.00
F: 0.7097 0.7052 0.8288  0.00
V: 0.9858 0.9561 0.1535  1.58
V: 0.5118 0.4882 0.0000  1.94
V: 0.4814 0.5349 0.3460  1.60
V: 0.0068 0.9932 0.5000  1.91
V: 0.4651 0.5186 0.6540  1.60
V: 0.0439 0.0142 0.8465  1.58

Values from the calculation:
Calculated volume, Å³ per cell: 200.42
Relative energy among the computed polymorphs, meV per atom: 17
Raw total energy, eV per cell: -132.705

This record from the Alexandria database describes a geometry-optimized VOF3 structure. The functional is PBE with a Hubbard U.

abc: 4.9647 5.1949 11.8604
angles: 90.00 90.00 90.00
Sites, in units of the cell vectors:
F: 0.8716 0.2247 0.1798
F: 0.8716 0.2753 0.6798
F: 0.8208 0.2100 0.9518
F: 0.1284 0.7753 0.1798
F: 0.5858 0.7698 0.8310
F: 0.5858 0.7302 0.3310
F: 0.1792 0.7900 0.9518
F: 0.4142 0.2302 0.8310
F: 0.1792 0.7100 0.4518
F: 0.4142 0.2698 0.3310
F: 0.1284 0.7247 0.6798
F: 0.8208 0.2900 0.4518
O: 0.7008 0.8302 0.0438
O: 0.2992 0.1698 0.0438
O: 0.7008 0.6698 0.5438
O: 0.2992 0.3302 0.5438
V: 0.0000 0.0000 0.0850
V: 0.5000 0.0000 0.9347
V: 0.0000 0.5000 0.5850
V: 0.5000 0.5000 0.4347

Values from the calculation:
Calculated volume, Å³ per cell: 305.89
Raw total energy, eV per cell: -116.704

This record from the Alexandria database describes a geometry-optimized V4OF11 structure. The functional is PBE with a Hubbard U.

abc: 5.2725 5.4671 17.4770
angles: 88.81 98.34 118.95
Each line ends with the local moment (μB).
Sites, in units of the cell vectors:
V: 0.0002 0.0123 0.9988  1.87
V: 0.7487 0.8697 0.6259  1.89
V: 0.2284 0.6029 0.8803  1.22
V: 0.7489 0.3840 0.1256  1.87
V: 0.4946 0.2431 0.7518  1.91
V: 0.2541 0.1212 0.3732  1.90
V: 0.5078 0.7391 0.2417  1.21
V: 0.0022 0.4955 0.5000  1.89
F: 0.5681 0.0778 0.6638  0.00
F: 0.0273 0.8051 0.4360  0.00
F: 0.5771 0.8053 0.9606  0.01
F: 0.9787 0.1856 0.5642  0.00
F: 0.4371 0.4320 0.8375  0.01
F: 0.4825 0.4538 0.3157  0.01
F: 0.4286 0.7102 0.5369  0.00
F: 0.9248 0.4622 0.7878  0.01
F: 0.4216 0.9115 0.3302  -0.01
F: 0.5772 0.2765 0.4622  0.00
F: 0.0775 0.3296 0.4133  0.00
F: 0.9230 0.9743 0.2865  0.01
F: 0.5229 0.0631 0.1866  0.00
F: 0.9269 0.1649 0.0873  0.00
F: 0.4242 0.2121 0.0385  0.00
F: 0.4559 0.9287 0.8154  -0.01
F: 0.9270 0.6597 0.5878  0.00
F: 0.9692 0.6866 0.0614  0.00
F: 0.0671 0.0324 0.7151  0.00
F: 0.0717 0.8418 0.9116  0.00
F: 0.0772 0.5430 0.2125  0.00
F: 0.5181 0.5514 0.6864  0.00
O: 0.0539 0.3336 0.9352  -0.18
O: 0.5776 0.5913 0.1699  -0.17

Values from the calculation:
Calculated volume, Å³ per cell: 435.47
Relative energy among the computed polymorphs, meV per atom: 0
Raw total energy, eV per cell: -199.484

This record from the Alexandria database describes a geometry-optimized V2O3F structure. The functional is PBE with a Hubbard U.

abc: 4.7127 4.7127 9.0551
angles: 90.00 90.00 94.22
Each line ends with the local moment (μB).
Sites, in units of the cell vectors:
O: 0.3043 0.3114 0.3336  -0.06
O: 0.6886 0.6957 0.3336  -0.06
O: 0.8013 0.1987 0.8332  -0.09
O: 0.1919 0.8081 0.5000  -0.09
O: 0.6886 0.6957 0.6664  -0.06
O: 0.3100 0.3047 0.0000  -0.06
O: 0.3043 0.3114 0.6664  -0.06
O: 0.6953 0.6900 0.0000  -0.06
O: 0.8013 0.1987 0.1668  -0.09
V: 0.5425 0.4575 0.1673  1.20
V: 0.9970 0.0030 0.3332  1.90
V: 0.9938 0.0062 0.0000  1.89
V: 0.5425 0.4575 0.8327  1.20
V: 0.9970 0.0030 0.6668  1.90
V: 0.4494 0.5506 0.5000  1.19
F: 0.7971 0.2029 0.5000  0.00
F: 0.1977 0.8023 0.1666  0.00
F: 0.1977 0.8023 0.8334  0.00

Values from the calculation:
Calculated volume, Å³ per cell: 200.56
Relative energy among the computed polymorphs, meV per atom: 3
Raw total energy, eV per cell: -134.930

This record from the Alexandria database describes a geometry-optimized V3O4F2 structure. The functional is PBE with a Hubbard U.

abc: 4.7436 5.6257 7.7034
angles: 84.66 87.05 85.95
Each line ends with the local moment (μB).
Sites, in units of the cell vectors:
F: 0.8034 0.3698 0.9328  0.00
F: 0.8061 0.6968 0.6017  0.01
F: 0.1939 0.3032 0.3983  0.01
F: 0.1966 0.6302 0.0672  0.00
O: 0.6907 0.8697 0.9362  -0.06
O: 0.7021 0.5456 0.2649  -0.06
O: 0.3093 0.1303 0.0638  -0.06
O: 0.2979 0.4544 0.7351  -0.06
O: 0.6910 0.1950 0.6049  -0.06
O: 0.1970 0.9581 0.7316  -0.09
O: 0.8030 0.0419 0.2684  -0.09
O: 0.3090 0.8050 0.3951  -0.06
V: 0.5000 0.5000 0.5000  1.90
V: 0.0058 0.6678 0.8363  1.93
V: 0.9942 0.3322 0.1637  1.93
V: 0.5493 0.8682 0.1820  1.20
V: 0.4507 0.1318 0.8180  1.20
V: 0.0000 0.0000 0.5000  1.94

Values from the calculation:
Calculated volume, Å³ per cell: 203.96
Relative energy among the computed polymorphs, meV per atom: 12
Raw total energy, eV per cell: -132.795

This record from the Alexandria database describes a geometry-optimized V3OF11 structure. The functional is PBE with a Hubbard U.

abc: 5.2038 5.9685 7.3625
angles: 87.10 96.10 94.63
Each line ends with the local moment (μB).
Sites, in units of the cell vectors:
F: 0.3738 0.1362 0.5595  -0.01
F: 0.7877 0.1671 0.1369  0.00
F: 0.2093 0.8503 0.8571  0.01
F: 0.9023 0.7560 0.1065  0.00
F: 0.8535 0.2481 0.4807  -0.04
F: 0.1336 0.7291 0.5196  -0.02
F: 0.4468 0.4366 0.2674  0.01
F: 0.1330 0.2641 0.9119  0.00
F: 0.6157 0.8465 0.4447  0.01
F: 0.5572 0.5732 0.7475  -0.02
F: 0.2964 0.0245 0.1949  -0.01
V: 0.5641 0.1747 0.3432  1.00
V: 0.9643 0.0073 0.9756  0.04
V: 0.4211 0.8175 0.6520  0.99
O: 0.7251 0.9847 0.8095  -0.03

Values from the calculation:
Calculated volume, Å³ per cell: 226.43
Relative energy among the computed polymorphs, meV per atom: 35
Raw total energy, eV per cell: -85.452

This record from the Alexandria database describes a geometry-optimized V3O4F2 structure. The functional is PBE with a Hubbard U.

abc: 4.7012 5.6359 7.6552
angles: 85.78 87.19 87.28
Each line ends with the local moment (μB).
Sites, in units of the cell vectors:
F: 0.1971 0.9690 0.2380  0.01
F: 0.1962 0.6270 0.5595  0.01
F: 0.1932 0.2985 0.8979  0.00
F: 0.8054 0.0254 0.7664  0.01
O: 0.3031 0.8009 0.9021  -0.06
O: 0.6988 0.2118 0.0977  -0.06
O: 0.8070 0.3721 0.4322  -0.07
O: 0.7994 0.7033 0.1044  -0.07
O: 0.7133 0.8576 0.4337  -0.10
O: 0.6904 0.5239 0.7786  -0.09
O: 0.2961 0.4853 0.2216  -0.08
O: 0.3097 0.1286 0.5691  -0.07
V: 0.4953 0.8285 0.6670  1.87
V: 0.9661 0.6518 0.3253  1.27
V: 0.9961 0.3255 0.6578  1.95
V: 0.5176 0.1801 0.3368  1.90
V: 0.5210 0.5170 0.0071  1.16
V: 0.9943 0.9935 0.0046  1.97

Values from the calculation:
Calculated volume, Å³ per cell: 201.84
Relative energy among the computed polymorphs, meV per atom: 16
Raw total energy, eV per cell: -132.714